[1]
Compound: Zr2AlAgH
Source: the Alexandria database
Functional: GGA-PBE
Structure: relaxed

Output
The crystal system is tetragonal. The value obtained for the uncorrected energy is -5.59 eV per atom. As for the space-group type: No. 123.

abc: 4.332 4.332 4.309
angles: 90.00 90.00 90.00
Element x y z (fractional)
Zr: 0.500 0.000 0.000
Zr: 0.000 0.500 0.000
Al: 0.000 0.000 0.500
H: 0.000 0.000 0.000
Ag: 0.500 0.500 0.500

[2]
Compound: Zr2AlAgH
Source: the Alexandria database
Functional: GGA-PBE
Structure: relaxed

Output
The crystal system is tetragonal. The value obtained for the uncorrected energy is -5.68 eV per atom. As for the space-group type: No. 123.

abc: 4.341 4.341 4.289
angles: 90.00 90.00 90.00
Element x y z (fractional)
Ag: 0.000 0.000 0.500
Zr: 0.000 0.500 0.000
Zr: 0.500 0.000 0.000
Al: 0.500 0.500 0.500
H: 0.000 0.000 0.000

[3]
Compound: Hf3Al4Ag2
Source: the Alexandria database
Functional: GGA-PBE
Structure: relaxed

Output
The crystal system is monoclinic. Its calculated formation energy is -0.2885 eV per atom. As for the space-group type: No. 12.

abc: 4.499 5.470 8.394
angles: 116.60 90.00 114.28
Element x y z (fractional)
Al: 0.939 0.878 0.607
Al: 0.724 0.448 0.057
Al: 0.276 0.552 0.943
Al: 0.061 0.122 0.393
Hf: 0.661 0.322 0.674
Hf: 0.000 0.000 0.000
Hf: 0.339 0.678 0.326
Ag: 0.618 0.237 0.283
Ag: 0.382 0.763 0.717

[4]
Compound: HfAl3Ag
Source: the Alexandria database
Functional: GGA-PBE
Structure: relaxed

Output
The crystal system is cubic. Its calculated formation energy is 0.6466 eV per atom. As for the space-group type: No. 221.

abc: 4.758 4.758 4.758
angles: 90.00 90.00 90.00
Element x y z (fractional)
Al: 0.000 0.000 0.500
Al: 0.500 0.000 0.000
Al: 0.000 0.500 0.000
Ag: 0.000 0.000 0.000
Hf: 0.500 0.500 0.500

[5]
Compound: Hf2AlAg
Source: the Alexandria database
Functional: GGA-PBE
Structure: relaxed

Output
The crystal system is tetragonal. Its calculated formation energy is -0.1814 eV per atom. As for the space-group type: No. 123.

abc: 3.038 3.038 8.285
angles: 90.00 90.00 90.00
Element x y z (fractional)
Hf: 0.000 0.000 0.243
Hf: 0.000 0.000 0.757
Ag: 0.500 0.500 0.500
Al: 0.500 0.500 0.000

[6]
Compound: HfAl3Ag
Source: the Alexandria database
Functional: GGA-PBE
Structure: relaxed

Output
The crystal system is cubic. Its calculated formation energy is 1.0693 eV per atom. As for the space-group type: No. 221.

abc: 5.214 5.214 5.214
angles: 90.00 90.00 90.00
Element x y z (fractional)
Al: 0.500 0.000 0.000
Al: 0.000 0.000 0.500
Al: 0.000 0.500 0.000
Hf: 0.000 0.000 0.000
Ag: 0.500 0.500 0.500